Here is a relaxed structure of Dy2Y6Pu from Alexandria via LeMat-Bulk. Energies are from PBE-GGA.

Calculated values
The total energy comes out at -59.23 eV per cell. The calculation puts the formation enthalpy at 0 K at 0.343 eV per atom. The excess energy over the best structure of this formula in the dataset comes out at 269 meV/atom.

POSCAR file:
```
Dy2Y6Pu
1.0
3.663 2.115 6.353
-3.663 2.115 6.353
0.000 -4.230 6.353
Dy Y Pu
2 6 1
Direct
0.000 0.000 0.000
0.177 0.177 0.177
0.154 0.700 0.700
0.496 0.496 0.985
0.496 0.985 0.496
0.700 0.154 0.700
0.700 0.700 0.154
0.985 0.496 0.496
0.436 0.436 0.436
```


Here is a relaxed structure of LiPrZnGa from Alexandria via LeMat-Bulk. Energies are from PBE-GGA.

Calculated values
The total energy comes out at -12.46 eV per cell. The calculation puts the formation enthalpy at 0 K at -0.367 eV per atom.

POSCAR file:
```
LiPrZnGa
1.0
0.000 3.491 3.491
3.491 0.000 3.491
3.491 3.491 0.000
Li Pr Zn Ga
1 1 1 1
Direct
0.000 0.000 0.000
0.500 0.500 0.500
0.250 0.250 0.250
0.750 0.750 0.750
```


Here is a relaxed structure of ScTlGa2Br6 from Alexandria via LeMat-Bulk. Energies are from PBE-GGA.

Calculated values
The total energy comes out at -35.44 eV per cell. Its formation energy without anion corrections is -10.65 eV per formula unit.

POSCAR file:
```
ScTlGa2Br6
1.0
7.692 0.000 0.000
3.842 6.674 0.000
3.843 2.223 6.862
Sc Tl Ga Br
1 1 2 6
Direct
0.000 0.000 0.000
0.490 0.490 0.530
0.191 0.191 0.427
0.681 0.681 0.956
0.070 0.365 0.753
0.228 0.915 0.208
0.365 0.812 0.753
0.649 0.227 0.208
0.812 0.070 0.753
0.916 0.649 0.208
```


Here is a relaxed structure of AlCdAsSe2 from Alexandria via LeMat-Bulk. Energies are from PBE-GGA.

Calculated values
The total energy comes out at -12.76 eV per cell. Its formation energy without anion corrections is 3.52 eV per formula unit. The excess energy over the best structure of this formula in the dataset comes out at 513 meV/atom.

POSCAR file:
```
AlCdAsSe2
1.0
5.303 0.000 0.000
0.000 5.303 0.000
0.000 0.000 5.182
Al Cd As Se
1 1 1 2
Direct
0.000 0.000 0.000
0.500 0.500 0.500
0.500 0.500 0.000
0.000 0.500 0.500
0.500 0.000 0.500
```


Here is a relaxed structure of Ti2Zn3Pt3 from Alexandria via LeMat-Bulk. Energies are from PBE-GGA.

Calculated values
The total energy comes out at -42.21 eV per cell. The calculation puts the formation enthalpy at 0 K at -0.559 eV per atom.

POSCAR file:
```
Ti2Zn3Pt3
1.0
7.355 0.000 0.000
-3.677 6.370 0.000
0.000 0.000 2.736
Ti Zn Pt
2 3 3
Direct
0.333 0.667 0.000
0.667 0.333 0.000
0.000 0.757 0.000
0.243 0.243 0.000
0.757 0.000 0.000
0.000 0.354 0.500
0.354 0.000 0.500
0.646 0.646 0.500
```


Here is a relaxed structure of Tl4InBi5 from Alexandria via LeMat-Bulk. Energies are from PBE-GGA.

Calculated values
The total energy comes out at -31.57 eV per cell. The calculation puts the formation enthalpy at 0 K at 0.004 eV per atom.

POSCAR file:
```
Tl4InBi5
1.0
3.387 0.000 0.000
0.000 3.387 0.000
0.000 0.000 27.610
Tl In Bi
4 1 5
Direct
0.000 0.000 0.101
0.000 0.000 0.303
0.000 0.000 0.697
0.000 0.000 0.899
0.000 0.000 0.500
0.500 0.500 0.000
0.500 0.500 0.202
0.500 0.500 0.406
0.500 0.500 0.594
0.500 0.500 0.798
```


Here is a relaxed structure of Cd8AgSn2 from Alexandria via LeMat-Bulk. Energies are from PBE-GGA.

Calculated values
The total energy comes out at -17.33 eV per cell. The calculation puts the formation enthalpy at 0 K at 0.077 eV per atom.

POSCAR file:
```
Cd8AgSn2
1.0
6.920 -3.532 0.000
6.920 3.532 0.000
-2.543 0.000 5.577
Cd Ag Sn
8 1 2
Direct
0.122 0.122 0.957
0.134 0.717 0.630
0.272 0.272 0.675
0.283 0.866 0.370
0.717 0.134 0.630
0.728 0.728 0.325
0.866 0.283 0.370
0.878 0.878 0.043
0.500 0.500 0.000
0.355 0.355 0.230
0.645 0.645 0.770
```


Here is a relaxed structure of TbHoRh from Alexandria via LeMat-Bulk. Energies are from PBE-GGA.

Calculated values
The total energy comes out at -110.99 eV per cell. The calculation puts the formation enthalpy at 0 K at -0.647 eV per atom. The excess energy over the best structure of this formula in the dataset comes out at 0 meV/atom.

POSCAR file:
```
TbHoRh
1.0
14.420 0.000 0.000
0.000 3.811 0.000
0.000 0.000 8.092
Tb Ho Rh
6 6 6
Direct
0.042 0.000 0.190
0.250 0.000 0.847
0.458 0.000 0.190
0.542 0.000 0.810
0.750 0.000 0.153
0.958 0.000 0.810
0.118 0.500 0.560
0.250 0.500 0.200
0.382 0.500 0.560
0.618 0.500 0.440
0.750 0.500 0.800
0.882 0.500 0.440
0.101 0.500 0.928
0.250 0.000 0.461
0.399 0.500 0.928
0.601 0.500 0.072
0.750 0.000 0.539
0.899 0.500 0.072
```


Here is a relaxed structure of DyNp2Si6 from Alexandria via LeMat-Bulk. Energies are from PBE-GGA.

Calculated values
The total energy comes out at -66.33 eV per cell. Its formation energy without anion corrections is -3.31 eV per formula unit.

POSCAR file:
```
DyNp2Si6
1.0
7.030 0.000 0.000
-3.515 6.088 0.000
0.000 0.000 3.834
Dy Np Si
1 2 6
Direct
0.000 0.000 0.000
0.333 0.667 0.000
0.667 0.333 0.000
0.000 0.334 0.500
0.000 0.666 0.500
0.334 0.000 0.500
0.334 0.334 0.500
0.666 0.000 0.500
0.666 0.666 0.500
```


Here is a relaxed structure of Mn2Tl3SnCl9 from Alexandria via LeMat-Bulk. Energies are from PBE-GGA.

Calculated values
The total energy comes out at -61.45 eV per cell. Its formation energy without anion corrections is -15.39 eV per formula unit.

POSCAR file:
```
Mn2Tl3SnCl9
1.0
7.295 0.000 0.000
-3.647 6.317 0.000
0.000 0.000 9.375
Mn Tl Sn Cl
2 3 1 9
Direct
0.333 0.667 0.164
0.667 0.333 0.836
0.000 0.000 0.000
0.333 0.667 0.727
0.667 0.333 0.273
0.000 0.000 0.500
0.000 0.500 0.000
0.170 0.341 0.308
0.170 0.830 0.308
0.341 0.170 0.692
0.500 0.000 0.000
0.500 0.500 0.000
0.659 0.830 0.308
0.830 0.170 0.692
0.830 0.659 0.692
```


Here is a relaxed structure of MgAlPb2 from Alexandria via LeMat-Bulk. Energies are from PBE-GGA.

Calculated values
The total energy comes out at -12.10 eV per cell. The calculation puts the formation enthalpy at 0 K at 0.164 eV per atom. The excess energy over the best structure of this formula in the dataset comes out at 83 meV/atom.

POSCAR file:
```
MgAlPb2
1.0
4.296 -2.147 0.000
4.296 2.147 0.000
-3.106 0.000 6.014
Mg Al Pb
1 1 2
Direct
0.000 0.000 0.000
0.198 0.198 0.511
0.591 0.591 0.730
0.800 0.800 0.283
```


Here is a relaxed structure of TaAlMo3 from Alexandria via LeMat-Bulk. Energies are from PBE-GGA.

Calculated values
The total energy comes out at -39.29 eV per cell. The calculation puts the formation enthalpy at 0 K at 1.761 eV per atom. The excess energy over the best structure of this formula in the dataset comes out at 413 meV/atom.

POSCAR file:
```
TaAlMo3
1.0
4.757 0.000 0.000
0.000 4.757 0.000
0.000 0.000 4.757
Ta Al Mo
1 1 3
Direct
0.000 0.000 0.000
0.500 0.500 0.500
0.000 0.000 0.500
0.000 0.500 0.000
0.500 0.000 0.000
```


Here is a relaxed structure of PrH6Pt2Pb from Alexandria via LeMat-Bulk. Energies are from PBE-GGA.

Calculated values
The total energy comes out at -85.60 eV per cell.

POSCAR file:
```
PrH6Pt2Pb
1.0
3.684 -5.606 0.000
3.684 5.606 0.000
-3.189 0.000 6.278
Pr H Pt Pb
2 12 4 2
Direct
0.134 0.866 0.750
0.866 0.134 0.250
0.034 0.850 0.076
0.150 0.966 0.424
0.265 0.602 0.853
0.282 0.289 0.243
0.289 0.282 0.743
0.398 0.735 0.647
0.602 0.265 0.353
0.711 0.718 0.257
0.718 0.711 0.757
0.735 0.398 0.147
0.850 0.034 0.576
0.966 0.150 0.924
0.058 0.326 0.737
0.326 0.058 0.237
0.674 0.942 0.763
0.942 0.674 0.263
0.350 0.650 0.250
0.650 0.350 0.750
```


Here is a relaxed structure of NaAgGe from Alexandria via LeMat-Bulk. Energies are from PBE-GGA.

Calculated values
The total energy comes out at -8.89 eV per cell. The calculation puts the formation enthalpy at 0 K at -0.034 eV per atom.

POSCAR file:
```
NaAgGe
1.0
4.731 0.000 0.000
-2.365 4.097 0.000
0.000 0.000 3.072
Na Ag Ge
1 1 1
Direct
0.000 0.000 0.000
0.333 0.667 0.500
0.667 0.333 0.500
```


Here is a relaxed structure of SmGaAg2 from Alexandria via LeMat-Bulk. Energies are from PBE-GGA.

Calculated values
The total energy comes out at -58.93 eV per cell. The calculation puts the formation enthalpy at 0 K at -0.321 eV per atom. The excess energy over the best structure of this formula in the dataset comes out at 6 meV/atom.

POSCAR file:
```
SmGaAg2
1.0
2.193 -8.420 0.000
2.193 8.420 0.000
0.000 0.000 9.426
Sm Ga Ag
4 4 8
Direct
0.000 0.000 0.000
0.000 0.000 0.500
0.193 0.807 0.750
0.807 0.193 0.250
0.359 0.641 0.025
0.359 0.641 0.475
0.641 0.359 0.525
0.641 0.359 0.975
0.197 0.803 0.095
0.197 0.803 0.405
0.390 0.610 0.750
0.449 0.551 0.250
0.551 0.449 0.750
0.610 0.390 0.250
0.803 0.197 0.595
0.803 0.197 0.905
```


Here is a relaxed structure of Hf2InAsC from Alexandria via LeMat-Bulk. Energies are from PBE-GGA.

Calculated values
The total energy comes out at -24.12 eV per cell. The calculation puts the formation enthalpy at 0 K at 2.480 eV per atom.

POSCAR file:
```
Hf2InAsC
1.0
5.313 0.000 0.000
0.000 5.313 0.000
0.000 0.000 4.851
Hf In As C
2 1 1 1
Direct
0.000 0.500 0.000
0.500 0.000 0.000
0.000 0.000 0.000
0.000 0.000 0.500
0.500 0.500 0.500
```


Here is a relaxed structure of ErTlPd6 from Alexandria via LeMat-Bulk. Energies are from PBE-GGA.

Calculated values
The total energy comes out at -42.51 eV per cell. The calculation puts the formation enthalpy at 0 K at -0.552 eV per atom. The excess energy over the best structure of this formula in the dataset comes out at 0 meV/atom.

POSCAR file:
```
ErTlPd6
1.0
5.776 0.000 0.000
0.000 5.776 0.000
0.000 0.000 4.121
Er Tl Pd
1 1 6
Direct
0.000 0.000 0.000
0.500 0.500 0.000
0.000 0.500 0.000
0.250 0.250 0.500
0.250 0.750 0.500
0.500 0.000 0.000
0.750 0.250 0.500
0.750 0.750 0.500
```